A plane-wave DFT calculation with PBE was carried out for Be3Ir after structural relaxation.

Summary:
The formation energy comes out at 139.5 meV per atom.

a b c (Å): 7.431 7.431 7.431
angles (deg): 20.58 20.58 20.58
Fractional positions:
Be1 0.750 0.750 0.750
Be2 0.500 0.500 0.500
Be3 0.250 0.250 0.250
Ir1 0.000 0.000 0.000